VASP calculation (GGA-PBE) on Tb4PmEr2Tm after structural relaxation.

```
Tb4PmEr2Tm
1.0
6.145 -3.549 0.000
6.145 3.549 0.000
-4.094 0.000 11.578
Tb Pm Er Tm
8 2 4 2
Direct
0.249 0.249 0.249
0.250 0.250 0.750
0.250 0.750 0.250
0.250 0.750 0.750
0.750 0.250 0.250
0.750 0.250 0.750
0.750 0.750 0.250
0.751 0.751 0.751
0.500 0.500 0.000
0.500 0.500 0.500
0.000 0.000 0.000
0.000 0.000 0.500
0.000 0.500 0.500
0.500 0.000 0.500
0.000 0.500 0.000
0.500 0.000 0.000
```

space-group type	C2/m
formation enthalpy at 0 K	0.02	eV/atom
volume	31.56	Å³/atom
DOS at the Fermi energy	10.38	states/eV/f.u.
total moment	0.00	μB/cell